1.
A plane-wave DFT calculation with PBE with a Hubbard U was carried out for an optimized crystal structure of K2CoH8C2O10.

Cell and atoms, written as extended XYZ:
```
46
Lattice="6.975 0.000 0.000 0.000 6.306 0.000 -5.191 0.000 11.229" Properties=species:S:1:pos:R:3 pbc="T T T"
K -0.029 0.997 3.563
K -2.624 2.157 9.177
K 4.408 4.150 2.052
K 1.813 5.310 7.666
Co 0.000 0.000 0.000
Co -2.595 3.153 5.614
H -0.519 4.193 4.162
H -3.115 5.266 9.776
H -3.649 4.402 11.083
H -1.054 5.057 5.468
H -0.940 1.072 6.515
H 1.656 2.081 0.900
H 2.398 0.724 1.243
H -0.197 2.429 6.857
H 1.981 3.878 4.372
H -0.614 5.582 9.986
H 0.129 4.226 10.328
H 2.724 5.234 4.714
H 2.838 1.249 5.761
H 5.433 1.904 0.146
H 4.899 1.040 1.452
H 2.303 2.113 7.067
C 0.849 4.150 2.074
C -1.746 5.310 7.689
C 3.531 0.997 3.540
C 0.935 2.157 9.155
O -1.340 4.566 4.620
O -3.936 4.893 10.234
O -2.529 4.327 7.361
O 0.066 5.132 1.746
O 1.732 1.120 0.610
O -0.863 2.033 6.224
O 0.725 3.599 3.246
O -1.871 5.861 8.860
O 1.752 3.703 1.243
O -0.844 5.757 6.857
O 2.628 0.550 4.372
O 0.032 2.604 9.986
O 3.655 0.446 2.369
O 1.059 2.708 7.983
O 2.647 4.273 5.005
O 0.052 5.187 10.619
O 1.718 1.174 9.483
O 4.314 1.979 3.868
O 5.720 1.413 0.995
O 3.124 1.740 6.609
```

Computed properties:
- E (eV/atom) = -5.76
- space group = P2_1/c


2.
A plane-wave DFT calculation with PBE with a Hubbard U was carried out for an optimized crystal structure of KCoH3C3O6.

Cell and atoms, written as extended XYZ:
```
28
Lattice="5.479 -4.552 0.000 5.479 4.552 0.000 -0.683 0.000 6.940" Properties=species:S:1:pos:R:3 pbc="T T T"
K 4.966 3.580 5.205
K 5.308 -3.580 1.735
Co 2.739 2.276 0.000
Co 2.398 -2.276 3.470
H 3.800 0.469 3.689
H 5.308 1.136 1.735
H 4.141 -0.469 0.219
H 6.133 0.469 6.721
H 4.966 -1.136 5.205
H 6.474 -0.469 3.251
C 5.308 2.246 1.735
C 3.056 0.491 4.514
C 3.398 -0.491 1.044
C 6.876 0.491 5.896
C 7.218 -0.491 2.426
C 4.966 -2.246 5.205
O 4.604 2.841 0.863
O 3.127 1.488 5.294
O 2.581 0.477 1.119
O 6.012 2.841 2.607
O 2.240 -0.477 4.589
O 3.469 -1.488 1.824
O 6.805 1.488 5.116
O 8.035 0.477 2.351
O 4.263 -2.841 4.333
O 7.693 -0.477 5.821
O 7.147 -1.488 1.646
O 5.670 -2.841 6.077
```

Computed properties:
- E above lowest polymorph (meV/atom) = 6
- space group = C2/c